# Cr4CdW

A geometry-optimized Cr4CdW structure (PBE, Alexandria).

The energy of formation from the pure elements comes out at 251.7 meV per atom. The value obtained for the density is 10.290 g/cm3.

Geometry as CIF:
```
data_Cr4CdW
_chemical_formula_sum 'Cr16 Cd4 W4'
_cell_length_a 6.8788
_cell_length_b 6.8788
_cell_length_c 6.8788
_cell_angle_alpha 90.00
_cell_angle_beta 90.00
_cell_angle_gamma 90.00
_space_group_name_H-M_alt 'F -4 3 m'
_space_group_IT_number 216
_space_group_name_Hall 'F -4 2 3'
loop_
_atom_site_label
_atom_site_fract_x
_atom_site_fract_y
_atom_site_fract_z
_atom_site_occupancy
Cr1 0.1241 0.1241 0.3759 1
Cd1 0.2500 0.2500 0.7500 1
W1 0.0000 0.0000 0.0000 1
```

# CrCdW2

A geometry-optimized CrCdW2 structure (PBE, Alexandria).

The energy of formation from the pure elements comes out at 656.5 meV per atom. The value obtained for the density is 13.442 g/cm3.

Geometry as CIF:
```
data_CrCdW2
_chemical_formula_sum 'Cr2 Cd2 W4'
_cell_length_a 3.8396
_cell_length_b 3.8396
_cell_length_c 8.9172
_cell_angle_alpha 90.00
_cell_angle_beta 90.00
_cell_angle_gamma 90.00
_space_group_name_H-M_alt 'I 4/m m m'
_space_group_IT_number 139
_space_group_name_Hall '-I 4 2'
loop_
_atom_site_label
_atom_site_fract_x
_atom_site_fract_y
_atom_site_fract_z
_atom_site_occupancy
Cr1 0.0000 0.0000 0.0000 1
Cd1 0.0000 0.0000 0.5000 1
W1 0.0000 0.5000 0.2500 1
```